# CrCo5O12

CrCo5O12 after structural relaxation (PBE with a Hubbard U, Alexandria). Values from VASP.

* space group: C2/m, No. 12
* total energy: -5.928 eV per atom
* size of the total moment: 2.99 Bohr magnetons per cell
* crystal system: monoclinic

```
&SYSTEM
  ibrav = 0, nat = 18, ntyp = 3
/
ATOMIC_SPECIES
O 16.00 O.upf
Co 58.93 Co.upf
Cr 52.00 Cr.upf
ATOMIC_POSITIONS angstrom
O 2.8819 2.1314 5.9638
O 3.2636 0.0024 0.9521
O 0.4018 3.5619 5.9638
O 1.6344 2.8338 9.0903
O -0.7988 4.2710 9.1045
Co 3.7127 0.7062 5.0283
O 2.0527 3.5590 4.0911
Co -1.2480 3.5673 5.0283
Co 2.4653 1.4190 -0.0008
Co 1.2324 2.1367 5.0283
O 0.8303 1.4396 0.9663
O -0.4171 2.1420 4.0928
Co -0.0063 2.8445 -0.0008
O 2.0630 0.7116 4.0928
Cr 0.0000 0.0000 0.0000
O 0.4121 0.7145 5.9655
O -1.6322 2.8261 0.9521
O 4.0969 1.4473 9.1045
CELL_PARAMETERS angstrom
4.9501 -0.0142 -0.0008
-2.4911 4.2776 -0.0008
0.0058 0.0100 10.0582
```